First-principles (PBE) data for a relaxed structure of LiCoMo2, as listed in Alexandria via LeMat-Bulk.

Cell: 2.704 2.704 7.590 Å, 90.00 90.00 90.00°
Space group P4mm (No. 99)
Unique sites:
Li1 0.000 0.000 0.000 (multiplicity 1)
Co1 0.500 0.500 0.787 (multiplicity 1)
Mo1 0.000 0.000 0.578 (multiplicity 1)
Mo2 0.500 0.500 0.278 (multiplicity 1)

## Properties
- formation enthalpy at 0 K (eV/atom) = 0.295
- total energy (eV for the cell shown) = -29.50

First-principles (PBE) data for a relaxed structure of LiCoMo2, as listed in Alexandria via LeMat-Bulk.

Cell: 3.035 4.199 8.599 Å, 90.00 90.00 90.00°
Space group Immm (No. 71)
Unique sites:
Li1 0.000 0.000 0.000 (multiplicity 2)
Co1 0.000 0.000 0.500 (multiplicity 2)
Mo1 0.000 0.500 0.238 (multiplicity 4)

## Properties
- formation enthalpy at 0 K (eV/atom) = 0.281
- total energy (eV for the cell shown) = -59.12

First-principles (PBE) data for a relaxed structure of LiCoMo2, as listed in Alexandria via LeMat-Bulk.

Cell: 2.6845 2.6845 28.0447 Å, 90.00 90.00 120.00°
Space group R-3m (No. 166, hexagonal axes)
Unique sites:
Li1 0.0000 0.0000 0.0000 (multiplicity 3)
Co1 0.0000 0.0000 0.5000 (multiplicity 3)
Mo1 0.0000 0.0000 0.2428 (multiplicity 6)

## Properties
- formation enthalpy at 0 K (eV/atom) = 0.346
- total energy (eV for the cell shown) = -87.90

First-principles (PBE) data for a relaxed structure of LiCoMo2, as listed in Alexandria via LeMat-Bulk.

Cell: 8.736 2.625 4.784 Å, 90.00 97.95 90.00°
Space group Cm (No. 8)
Unique sites:
Li1 0.000 0.000 0.000 (multiplicity 2)
Co1 0.259 0.000 0.754 (multiplicity 2)
Mo1 0.026 0.500 0.522 (multiplicity 2)
Mo2 0.258 0.500 0.230 (multiplicity 2)

## Properties
- formation enthalpy at 0 K (eV/atom) = 0.328
- total energy (eV for the cell shown) = -58.74

First-principles (PBE) data for a relaxed structure of LiCoMo2, as listed in Alexandria via LeMat-Bulk.

Cell: 5.958 5.958 5.958 Å, 90.00 90.00 90.00°
Space group Fm-3m (No. 225)
Unique sites:
Li1 0.000 0.000 0.000 (multiplicity 4)
Co1 0.000 0.000 0.500 (multiplicity 4)
Mo1 0.250 0.250 0.250 (multiplicity 8)

## Properties
- formation enthalpy at 0 K (eV/atom) = 0.501
- total energy (eV for the cell shown) = -114.72

First-principles (PBE) data for a relaxed structure of Li2CoMo, as listed in Alexandria via LeMat-Bulk.

Cell: 2.505 2.505 8.812 Å, 90.00 90.00 90.00°
Space group P4/mmm (No. 123)
Unique sites:
Li1 0.000 0.000 0.229 (multiplicity 2)
Co1 0.500 0.500 0.000 (multiplicity 1)
Mo1 0.500 0.500 0.500 (multiplicity 1)

## Properties
- formation enthalpy at 0 K (eV/atom) = 0.359
- total energy (eV for the cell shown) = -20.33

First-principles (PBE) data for a relaxed structure of Li2CoMo, as listed in Alexandria via LeMat-Bulk.

Cell: 2.6090 2.6090 28.0173 Å, 90.00 90.00 120.00°
Space group R-3m (No. 166, hexagonal axes)
Unique sites:
Li1 0.0000 0.0000 0.2441 (multiplicity 6)
Co1 0.0000 0.0000 0.5000 (multiplicity 3)
Mo1 0.0000 0.0000 0.0000 (multiplicity 3)

## Properties
- formation enthalpy at 0 K (eV/atom) = 0.344
- total energy (eV for the cell shown) = -61.16

First-principles (PBE) data for a relaxed structure of Li2CoMo, as listed in Alexandria via LeMat-Bulk.

Cell: 10.378 2.680 4.235 Å, 90.00 113.77 90.00°
Space group C2/m (No. 12)
Unique sites:
Li1 0.229 0.000 0.229 (multiplicity 4)
Co1 0.000 0.500 0.000 (multiplicity 2)
Mo1 0.000 0.000 0.500 (multiplicity 2)

## Properties
- formation enthalpy at 0 K (eV/atom) = 0.299
- total energy (eV for the cell shown) = -41.14

First-principles (PBE) data for a relaxed structure of LiCoMo2, as listed in Alexandria via LeMat-Bulk.

Cell: 3.321 4.034 8.590 Å, 90.00 90.00 90.00°
Space group Cmmm (No. 65)
Unique sites:
Li1 0.000 0.000 0.000 (multiplicity 2)
Co1 0.000 0.000 0.500 (multiplicity 2)
Mo1 0.000 0.500 0.277 (multiplicity 4)

## Properties
- formation enthalpy at 0 K (eV/atom) = 0.309
- total energy (eV for the cell shown) = -58.89

First-principles (PBE) data for a relaxed structure of LiCoMo2, as listed in Alexandria via LeMat-Bulk.

Cell: 3.692 3.692 7.926 Å, 90.00 90.00 90.00°
Space group I4/mmm (No. 139)
Unique sites:
Li1 0.000 0.000 0.000 (multiplicity 2)
Co1 0.000 0.000 0.500 (multiplicity 2)
Mo1 0.000 0.500 0.250 (multiplicity 4)

## Properties
- formation enthalpy at 0 K (eV/atom) = 0.354
- total energy (eV for the cell shown) = -58.53

First-principles (PBE) data for a relaxed structure of LiCoMo2, as listed in Alexandria via LeMat-Bulk.

Cell: 2.615 2.615 8.459 Å, 90.00 90.00 90.00°
Space group P4/mmm (No. 123)
Unique sites:
Li1 0.000 0.000 0.000 (multiplicity 1)
Co1 0.000 0.000 0.500 (multiplicity 1)
Mo1 0.500 0.500 0.280 (multiplicity 2)

## Properties
- formation enthalpy at 0 K (eV/atom) = 0.324
- total energy (eV for the cell shown) = -29.39

First-principles (PBE) data for a relaxed structure of Li2CoMo, as listed in Alexandria via LeMat-Bulk.

Cell: 2.608 3.741 5.757 Å, 90.00 90.00 90.00°
Space group Pmm2 (No. 25)
Unique sites:
Li1 0.000 0.000 0.000 (multiplicity 1)
Li2 0.500 0.500 0.236 (multiplicity 1)
Co1 0.500 0.500 0.715 (multiplicity 1)
Mo1 0.000 0.000 0.543 (multiplicity 1)

## Properties
- formation enthalpy at 0 K (eV/atom) = 0.277
- total energy (eV for the cell shown) = -20.66

First-principles (PBE) data for a relaxed structure of LiCoMo3, as listed in Alexandria via LeMat-Bulk.

Cell: 4.491 4.491 4.491 Å, 90.00 90.00 90.00°
Space group Pm-3m (No. 221)
Unique sites:
Li1 0.000 0.000 0.000 (multiplicity 1)
Co1 0.500 0.500 0.500 (multiplicity 1)
Mo1 0.000 0.500 0.500 (multiplicity 3)

## Properties
- formation enthalpy at 0 K (eV/atom) = 1.259
- total energy (eV for the cell shown) = -35.22

First-principles (PBE) data for a relaxed structure of LiCoMo2, as listed in Alexandria via LeMat-Bulk.

Cell: 3.087 4.371 8.154 Å, 90.00 90.00 90.00°
Space group Imm2 (No. 44)
Unique sites:
Li1 0.000 0.000 0.000 (multiplicity 2)
Co1 0.000 0.500 0.258 (multiplicity 2)
Mo1 0.000 0.000 0.519 (multiplicity 2)
Mo2 0.000 0.500 0.774 (multiplicity 2)

## Properties
- formation enthalpy at 0 K (eV/atom) = 0.352
- total energy (eV for the cell shown) = -58.55

First-principles (PBE) data for a relaxed structure of Li2CoMo, as listed in Alexandria via LeMat-Bulk.

Cell: 4.589 4.589 2.494 Å, 90.00 90.00 90.00°
Space group P4/mmm (No. 123)
Unique sites:
Li1 0.000 0.500 0.000 (multiplicity 2)
Co1 0.000 0.000 0.500 (multiplicity 1)
Mo1 0.500 0.500 0.500 (multiplicity 1)

## Properties
- formation enthalpy at 0 K (eV/atom) = 0.684
- total energy (eV for the cell shown) = -19.03

First-principles (PBE) data for a relaxed structure of Li2CoMo, as listed in Alexandria via LeMat-Bulk.

Cell: 2.998 4.045 9.139 Å, 90.00 90.00 90.00°
Space group Cmmm (No. 65)
Unique sites:
Li1 0.000 0.000 0.231 (multiplicity 4)
Co1 0.000 0.500 0.000 (multiplicity 2)
Mo1 0.000 0.500 0.500 (multiplicity 2)

## Properties
- formation enthalpy at 0 K (eV/atom) = 0.314
- total energy (eV for the cell shown) = -41.02

First-principles (PBE) data for a relaxed structure of Li2CoMo, as listed in Alexandria via LeMat-Bulk.

Cell: 5.810 5.810 5.810 Å, 90.00 90.00 90.00°
Space group F-43m (No. 216)
Unique sites:
Li1 0.000 0.000 0.000 (multiplicity 4)
Li2 0.250 0.250 0.250 (multiplicity 4)
Co1 0.000 0.000 0.500 (multiplicity 4)
Mo1 0.250 0.250 0.750 (multiplicity 4)

## Properties
- formation enthalpy at 0 K (eV/atom) = 0.317
- total energy (eV for the cell shown) = -81.98

First-principles (PBE) data for a relaxed structure of LiCoMo4, as listed in Alexandria via LeMat-Bulk.

Cell: 7.312 7.312 7.312 Å, 90.00 90.00 90.00°
Space group F-43m (No. 216)
Unique sites:
Li1 0.000 0.000 0.000 (multiplicity 4)
Co1 0.250 0.250 0.250 (multiplicity 4)
Mo1 0.126 0.126 0.626 (multiplicity 16)

## Properties
- formation enthalpy at 0 K (eV/atom) = 0.613
- total energy (eV for the cell shown) = -194.65

First-principles (PBE) data for a relaxed structure of LiCoMo2, as listed in Alexandria via LeMat-Bulk.

Cell: 2.646 3.800 5.294 Å, 90.00 90.00 90.00°
Space group Pmmm (No. 47)
Unique sites:
Li1 0.000 0.000 0.000 (multiplicity 1)
Co1 0.000 0.000 0.500 (multiplicity 1)
Mo1 0.500 0.500 0.251 (multiplicity 2)

## Properties
- formation enthalpy at 0 K (eV/atom) = 0.316
- total energy (eV for the cell shown) = -29.42

First-principles (PBE) data for a relaxed structure of Li2CoMo, as listed in Alexandria via LeMat-Bulk.

Cell: 2.535 4.698 4.509 Å, 90.00 94.19 90.00°
Space group P2/m (No. 10)
Unique sites:
Li1 0.189 0.000 0.257 (multiplicity 2)
Co1 0.000 0.500 0.500 (multiplicity 1)
Mo1 0.500 0.500 0.000 (multiplicity 1)

## Properties
- formation enthalpy at 0 K (eV/atom) = 0.306
- total energy (eV for the cell shown) = -20.54

First-principles (PBE) data for a relaxed structure of Li2CoMo, as listed in Alexandria via LeMat-Bulk.

Cell: 8.338 2.543 5.178 Å, 90.00 94.78 90.00°
Space group Cm (No. 8)
Unique sites:
Li1 0.000 0.000 0.000 (multiplicity 2)
Li2 0.244 0.000 0.793 (multiplicity 2)
Co1 0.012 0.500 0.494 (multiplicity 2)
Mo1 0.259 0.500 0.323 (multiplicity 2)

## Properties
- formation enthalpy at 0 K (eV/atom) = 0.308
- total energy (eV for the cell shown) = -41.06

First-principles (PBE) data for a relaxed structure of LiCoMo2, as listed in Alexandria via LeMat-Bulk.

Cell: 6.845 6.845 5.001 Å, 90.00 90.00 90.00°
Space group I-42d (No. 122)
Unique sites:
Li1 0.000 0.000 0.000 (multiplicity 4)
Co1 0.000 0.000 0.500 (multiplicity 4)
Mo1 0.216 0.250 0.625 (multiplicity 8)

## Properties
- formation enthalpy at 0 K (eV/atom) = 0.641
- total energy (eV for the cell shown) = -112.48

First-principles (PBE) data for a relaxed structure of Li2CoMo, as listed in Alexandria via LeMat-Bulk.

Cell: 2.539 4.044 5.464 Å, 90.00 100.30 90.00°
Space group Pm (No. 6)
Unique sites:
Li1 0.000 0.000 0.000 (multiplicity 1)
Li2 0.316 0.500 0.794 (multiplicity 1)
Co1 0.371 0.000 0.495 (multiplicity 1)
Mo1 0.731 0.500 0.330 (multiplicity 1)

## Properties
- formation enthalpy at 0 K (eV/atom) = 0.272
- total energy (eV for the cell shown) = -20.68

First-principles (PBE) data for a relaxed structure of LiCoMo2, as listed in Alexandria via LeMat-Bulk.

Cell: 2.604 3.931 5.310 Å, 90.00 90.00 90.00°
Space group Pmm2 (No. 25)
Unique sites:
Li1 0.000 0.000 0.000 (multiplicity 1)
Co1 0.500 0.500 0.778 (multiplicity 1)
Mo1 0.000 0.000 0.529 (multiplicity 1)
Mo2 0.500 0.500 0.238 (multiplicity 1)

## Properties
- formation enthalpy at 0 K (eV/atom) = 0.354
- total energy (eV for the cell shown) = -29.27

First-principles (PBE) data for a relaxed structure of Li4CoMo, as listed in Alexandria via LeMat-Bulk.

Cell: 6.687 6.687 6.687 Å, 90.00 90.00 90.00°
Space group F-43m (No. 216)
Unique sites:
Li1 0.124 0.124 0.376 (multiplicity 16)
Co1 0.250 0.250 0.750 (multiplicity 4)
Mo1 0.000 0.000 0.000 (multiplicity 4)

## Properties
- formation enthalpy at 0 K (eV/atom) = 0.581
- total energy (eV for the cell shown) = -88.42

First-principles (PBE) data for a relaxed structure of LiCoMo2, as listed in Alexandria via LeMat-Bulk.

Cell: 3.761 3.761 3.769 Å, 90.00 90.00 90.00°
Space group P4/mmm (No. 123)
Unique sites:
Li1 0.000 0.000 0.000 (multiplicity 1)
Co1 0.500 0.500 0.000 (multiplicity 1)
Mo1 0.000 0.500 0.500 (multiplicity 2)

## Properties
- formation enthalpy at 0 K (eV/atom) = 0.350
- total energy (eV for the cell shown) = -29.28

First-principles (PBE) data for a relaxed structure of Li2CoMo, as listed in Alexandria via LeMat-Bulk.

Cell: 3.031 4.216 9.132 Å, 90.00 90.00 90.00°
Space group Cmm2 (No. 35)
Unique sites:
Li1 0.000 0.000 0.000 (multiplicity 2)
Li2 0.000 0.500 0.285 (multiplicity 2)
Co1 0.000 0.000 0.512 (multiplicity 2)
Mo1 0.000 0.500 0.737 (multiplicity 2)

## Properties
- formation enthalpy at 0 K (eV/atom) = 0.235
- total energy (eV for the cell shown) = -41.65

First-principles (PBE) data for a relaxed structure of Li2CoMo, as listed in Alexandria via LeMat-Bulk.

Cell: 3.400 3.400 9.259 Å, 90.00 90.00 90.00°
Space group I4/mmm (No. 139)
Unique sites:
Li1 0.000 0.500 0.250 (multiplicity 4)
Co1 0.000 0.000 0.000 (multiplicity 2)
Mo1 0.000 0.000 0.500 (multiplicity 2)

## Properties
- formation enthalpy at 0 K (eV/atom) = 0.371
- total energy (eV for the cell shown) = -40.56

First-principles (PBE) data for a relaxed structure of Li2CoMo, as listed in Alexandria via LeMat-Bulk.

Cell: 2.7052 2.7052 27.6904 Å, 90.00 90.00 120.00°
Space group R3m (No. 160, hexagonal axes)
Unique sites:
Li1 0.0000 0.0000 0.0000 (multiplicity 3)
Li2 0.0000 0.0000 0.2388 (multiplicity 3)
Co1 0.0000 0.0000 0.7433 (multiplicity 3)
Mo1 0.0000 0.0000 0.4812 (multiplicity 3)

## Properties
- formation enthalpy at 0 K (eV/atom) = 0.244
- total energy (eV for the cell shown) = -62.37

First-principles (PBE) data for a relaxed structure of Li2CoMo, as listed in Alexandria via LeMat-Bulk.

Cell: 2.516 4.469 4.769 Å, 90.00 90.00 90.00°
Space group Pmmm (No. 47)
Unique sites:
Li1 0.000 0.000 0.241 (multiplicity 2)
Co1 0.500 0.500 0.000 (multiplicity 1)
Mo1 0.500 0.500 0.500 (multiplicity 1)

## Properties
- formation enthalpy at 0 K (eV/atom) = 0.389
- total energy (eV for the cell shown) = -20.21

Which ρ belongs to each record? In order, 7.71, 7.81, 7.34, 7.88, 8.10, 5.07, 5.09, 5.20, 7.44, 7.92, 7.40, 4.99, 6.49, 7.78, 5.33, 5.06, 5.71, 7.64, 8.04, 5.23, 5.12, 7.31, 5.08, 7.88, 4.06, 8.03, 4.80, 5.24, 4.79, 5.23 Mg/m³.